No. 1
# TiNb3Ni12 (PBE-GGA, relaxed)
# * crystal system: orthorhombic
# * M_tot: 0.00 μB per cell
# * VASP energy: -7.046 eV per atom
# * calculated formation energy: -0.329 eV per atom
data_TiNb3Ni12
_space_group_name_H-M_alt 'P m m 2'
_space_group_IT_number 25
_cell_length_a 4.221
_cell_length_b 10.235
_cell_length_c 4.561
_cell_angle_alpha 90.00
_cell_angle_beta 90.00
_cell_angle_gamma 90.00
loop_
_space_group_symop_operation_xyz
'x,y,z'
'-x,-y,z'
'-x,y,z'
'x,-y,z'
loop_
_atom_site_label
_atom_site_type_symbol
_atom_site_fract_x
_atom_site_fract_y
_atom_site_fract_z
Ti1 Ti 0.000 0.000 0.000
Nb1 Nb 0.000 0.500 0.998
Nb2 Nb 0.500 0.249 0.303
Ni1 Ni 0.000 0.122 0.491
Ni2 Ni 0.000 0.248 0.965
Ni3 Ni 0.000 0.375 0.491
Ni4 Ni 0.500 0.000 0.332
Ni5 Ni 0.500 0.124 0.811
Ni6 Ni 0.500 0.374 0.811
Ni7 Ni 0.500 0.500 0.334

---

No. 2
# Nb2AlSiP (PBE-GGA, relaxed)
# * crystal system: tetragonal
# * M_tot: 0.00 μB per cell
# * VASP energy: -6.487 eV per atom
data_Nb2AlSiP
_space_group_name_H-M_alt 'P 4/m m m'
_space_group_IT_number 123
_space_group_name_Hall '-P 4 2'
_cell_length_a 4.660
_cell_length_b 4.660
_cell_length_c 4.418
_cell_angle_alpha 90.00
_cell_angle_beta 90.00
_cell_angle_gamma 90.00
loop_
_atom_site_label
_atom_site_type_symbol
_atom_site_fract_x
_atom_site_fract_y
_atom_site_fract_z
Nb1 Nb 0.000 0.500 0.000
Al1 Al 0.000 0.000 0.500
Si1 Si 0.500 0.500 0.500
P1 P 0.500 0.500 0.000

---

No. 3
# MnInW2 (PBE-GGA, relaxed)
# * crystal system: monoclinic
# * M_tot: 2.05 μB per cell
# * VASP energy: -9.023 eV per atom
# * calculated formation energy: 0.431 eV per atom
data_MnInW2
_space_group_name_H-M_alt 'P 1 2/m 1'
_space_group_IT_number 10
_cell_length_a 2.755
_cell_length_b 4.410
_cell_length_c 5.511
_cell_angle_alpha 90.00
_cell_angle_beta 104.05
_cell_angle_gamma 90.00
loop_
_space_group_symop_operation_xyz
'x,y,z'
'-x,-y,-z'
'-x,y,-z'
'x,-y,z'
loop_
_atom_site_label
_atom_site_type_symbol
_atom_site_fract_x
_atom_site_fract_y
_atom_site_fract_z
Mn1 Mn 0.000 0.000 0.000
In1 In 0.000 0.000 0.500
W1 W 0.469 0.500 0.232

---

No. 4
# HfScNi (PBE-GGA, relaxed)
# * crystal system: orthorhombic
# * M_tot: 0.00 μB per cell
# * VASP energy: -7.669 eV per atom
# * offset from the most stable computed form: 0.000 eV/atom
# * calculated formation energy: -0.314 eV per atom
data_HfScNi
_space_group_name_H-M_alt 'A m m 2'
_space_group_IT_number 38
_cell_length_a 4.438
_cell_length_b 11.657
_cell_length_c 6.567
_cell_angle_alpha 90.00
_cell_angle_beta 90.00
_cell_angle_gamma 90.00
loop_
_space_group_symop_operation_xyz
'x,y,z'
'-x,-y,z'
'-x,y,z'
'x,-y,z'
'x,y+1/2,z+1/2'
'-x,-y+1/2,z+1/2'
'-x,y+1/2,z+1/2'
'x,-y+1/2,z+1/2'
loop_
_atom_site_label
_atom_site_type_symbol
_atom_site_fract_x
_atom_site_fract_y
_atom_site_fract_z
Hf1 Hf 0.000 0.000 0.000
Hf2 Hf 0.000 0.130 0.398
Sc1 Sc 0.500 0.000 0.672
Sc2 Sc 0.500 0.204 0.058
Ni1 Ni 0.000 0.169 0.770
Ni2 Ni 0.500 0.000 0.261

---

No. 5
# ScBiS2 (PBE-GGA, relaxed)
# * crystal system: tetragonal
# * M_tot: 0.00 μB per cell
# * VASP energy: -5.468 eV per atom
data_ScBiS2
_space_group_name_H-M_alt 'I 41/a m d'
_space_group_IT_number 141
_cell_length_a 5.442
_cell_length_b 5.442
_cell_length_c 12.820
_cell_angle_alpha 90.00
_cell_angle_beta 90.00
_cell_angle_gamma 90.00
loop_
_space_group_symop_operation_xyz
'x,y,z'
'-x,-y,-z'
'-y+1/4,x+3/4,z+1/4'
'y+1/4,-x+3/4,-z+1/4'
'-x+1/2,-y,z+1/2'
'x+1/2,y,-z+1/2'
'y+1/4,-x+1/4,z+3/4'
'-y+1/4,x+1/4,-z+3/4'
'x,-y,-z'
'-x,y,z'
'-y+1/4,-x+1/4,-z+3/4'
'y+1/4,x+1/4,z+3/4'
'-x+1/2,y,-z+1/2'
'x+1/2,-y,z+1/2'
'y+1/4,x+3/4,-z+1/4'
'-y+1/4,-x+3/4,z+1/4'
'x+1/2,y+1/2,z+1/2'
'-x+1/2,-y+1/2,-z+1/2'
'-y+3/4,x+1/4,z+3/4'
'y+3/4,-x+1/4,-z+3/4'
'-x,-y+1/2,z'
'x,y+1/2,-z'
'y+3/4,-x+3/4,z+1/4'
'-y+3/4,x+3/4,-z+1/4'
'x+1/2,-y+1/2,-z+1/2'
'-x+1/2,y+1/2,z+1/2'
'-y+3/4,-x+3/4,-z+1/4'
'y+3/4,x+3/4,z+1/4'
'-x,y+1/2,-z'
'x,-y+1/2,z'
'y+3/4,x+1/4,-z+3/4'
'-y+3/4,-x+1/4,z+3/4'
loop_
_atom_site_label
_atom_site_type_symbol
_atom_site_fract_x
_atom_site_fract_y
_atom_site_fract_z
Sc1 Sc 0.000 0.250 0.375
Bi1 Bi 0.000 0.250 0.875
S1 S 0.000 0.250 0.172

---

No. 6
# Er2TmAl (PBE-GGA, relaxed)
# * crystal system: cubic
# * M_tot: 0.01 μB per cell
# * VASP energy: -4.397 eV per atom
# * offset from the most stable computed form: 0.139 eV/atom
# * calculated formation energy: -0.062 eV per atom
data_Er2TmAl
_space_group_name_H-M_alt 'F m -3 m'
_space_group_IT_number 225
_space_group_name_Hall '-F 4 2 3'
_cell_length_a 7.477
_cell_length_b 7.477
_cell_length_c 7.477
_cell_angle_alpha 90.00
_cell_angle_beta 90.00
_cell_angle_gamma 90.00
loop_
_atom_site_label
_atom_site_type_symbol
_atom_site_fract_x
_atom_site_fract_y
_atom_site_fract_z
Er1 Er 0.250 0.250 0.250
Tm1 Tm 0.000 0.000 0.000
Al1 Al 0.000 0.000 0.500

---

No. 7
# NbFe2Co5 (PBE-GGA, relaxed)
# * crystal system: orthorhombic
# * M_tot: 22.36 μB per cell
# * VASP energy: -7.651 eV per atom
# * calculated formation energy: 0.164 eV per atom
data_NbFe2Co5
_space_group_name_H-M_alt 'I m m m'
_space_group_IT_number 71
_space_group_name_Hall '-I 2 2'
_cell_length_a 2.560
_cell_length_b 5.075
_cell_length_c 15.114
_cell_angle_alpha 90.00
_cell_angle_beta 90.00
_cell_angle_gamma 90.00
loop_
_atom_site_label
_atom_site_type_symbol
_atom_site_fract_x
_atom_site_fract_y
_atom_site_fract_z
Nb1 Nb 0.000 0.000 0.000
Fe1 Fe 0.000 0.500 0.244
Co1 Co 0.000 0.236 0.375
Co2 Co 0.000 0.500 0.000

---

No. 8
# MgTi3Pd6 (PBE-GGA, relaxed)
# * crystal system: orthorhombic
# * M_tot: 0.00 μB per cell
# * VASP energy: -6.047 eV per atom
# * calculated formation energy: -0.403 eV per atom
data_MgTi3Pd6
_space_group_name_H-M_alt 'C m c 21'
_space_group_IT_number 36
_cell_length_a 7.637
_cell_length_b 12.289
_cell_length_c 7.196
_cell_angle_alpha 90.00
_cell_angle_beta 90.00
_cell_angle_gamma 90.00
loop_
_space_group_symop_operation_xyz
'x,y,z'
'-x,-y,z+1/2'
'-x,y,z'
'x,-y,z+1/2'
'x+1/2,y+1/2,z'
'-x+1/2,-y+1/2,z+1/2'
'-x+1/2,y+1/2,z'
'x+1/2,-y+1/2,z+1/2'
loop_
_atom_site_label
_atom_site_type_symbol
_atom_site_fract_x
_atom_site_fract_y
_atom_site_fract_z
Mg1 Mg 0.000 0.186 0.000
Ti1 Ti 0.000 0.419 0.810
Ti2 Ti 0.219 0.094 0.640
Pd1 Pd 0.000 0.030 0.354
Pd2 Pd 0.000 0.241 0.587
Pd3 Pd 0.182 0.425 0.478
Pd4 Pd 0.223 0.208 0.305

---

No. 9
# RbVAsSe2 (PBE-GGA, relaxed)
# * crystal system: tetragonal
# * M_tot: 1.42 μB per cell
# * VASP energy: -2.753 eV per atom
# * offset from the most stable computed form: 1.979 eV/atom
data_RbVAsSe2
_space_group_name_H-M_alt 'P 4/m m m'
_space_group_IT_number 123
_space_group_name_Hall '-P 4 2'
_cell_length_a 5.747
_cell_length_b 5.747
_cell_length_c 5.512
_cell_angle_alpha 90.00
_cell_angle_beta 90.00
_cell_angle_gamma 90.00
loop_
_atom_site_label
_atom_site_type_symbol
_atom_site_fract_x
_atom_site_fract_y
_atom_site_fract_z
Rb1 Rb 0.000 0.000 0.000
V1 V 0.500 0.500 0.500
As1 As 0.000 0.000 0.500
Se1 Se 0.000 0.500 0.000

---

No. 10
# MnCo2Te6 (PBE-GGA, relaxed)
# * crystal system: monoclinic
# * M_tot: 5.40 μB per cell
# * VASP energy: -4.878 eV per atom
data_MnCo2Te6
_space_group_name_H-M_alt 'C 1 2/m 1'
_space_group_IT_number 12
_cell_length_a 12.695
_cell_length_b 3.750
_cell_length_c 10.604
_cell_angle_alpha 90.00
_cell_angle_beta 116.29
_cell_angle_gamma 90.00
loop_
_space_group_symop_operation_xyz
'x,y,z'
'-x,-y,-z'
'-x,y,-z'
'x,-y,z'
'x+1/2,y+1/2,z'
'-x+1/2,-y+1/2,-z'
'-x+1/2,y+1/2,-z'
'x+1/2,-y+1/2,z'
loop_
_atom_site_label
_atom_site_type_symbol
_atom_site_fract_x
_atom_site_fract_y
_atom_site_fract_z
Mn1 Mn 0.000 0.000 0.000
Co1 Co 0.160 0.500 0.327
Te1 Te 0.008 0.000 0.255
Te2 Te 0.166 0.500 0.089
Te3 Te 0.187 0.500 0.581

---

No. 11
# Ti2Cu2Hg (PBE-GGA, relaxed)
# * crystal system: tetragonal
# * M_tot: 0.00 μB per cell
# * VASP energy: -4.665 eV per atom
# * offset from the most stable computed form: 0.234 eV/atom
# * calculated formation energy: 0.192 eV per atom
data_Ti2Cu2Hg
_space_group_name_H-M_alt 'P 4/m b m'
_space_group_IT_number 127
_space_group_name_Hall '-P 4 2ab'
_cell_length_a 7.666
_cell_length_b 7.666
_cell_length_c 2.829
_cell_angle_alpha 90.00
_cell_angle_beta 90.00
_cell_angle_gamma 90.00
loop_
_atom_site_label
_atom_site_type_symbol
_atom_site_fract_x
_atom_site_fract_y
_atom_site_fract_z
Ti1 Ti 0.162 0.338 0.000
Cu1 Cu 0.127 0.627 0.500
Hg1 Hg 0.000 0.000 0.000

---

No. 12
# SrOsO2F (PBE-GGA, relaxed)
# * crystal system: tetragonal
# * M_tot: 0.61 μB per cell
# * VASP energy: -6.635 eV per atom
data_SrOsO2F
_space_group_name_H-M_alt 'P 4/m m m'
_space_group_IT_number 123
_space_group_name_Hall '-P 4 2'
_cell_length_a 3.772
_cell_length_b 3.772
_cell_length_c 5.859
_cell_angle_alpha 90.00
_cell_angle_beta 90.00
_cell_angle_gamma 90.00
loop_
_atom_site_label
_atom_site_type_symbol
_atom_site_fract_x
_atom_site_fract_y
_atom_site_fract_z
Sr1 Sr 0.000 0.000 0.000
Os1 Os 0.500 0.500 0.500
O1 O 0.000 0.500 0.500
F1 F 0.500 0.500 0.000